(1)
The following is a PBE-GGA calculation of an optimized crystal structure of SmCdHg, from OQMD.

```
3
Lattice="0.0000 3.5005 3.5005 3.5005 0.0000 3.5005 3.5005 3.5005 0.0000" Properties=species:S:1:pos:R:3 pbc="T T T"
Sm 0.0000 0.0000 0.0000
Cd 3.5005 3.5005 3.5005
Hg 5.2508 5.2508 5.2508
```

Results
Total magnetic moment = 0.03 μB per atom
Calculated total energy = -6.713 eV/f.u.
Space-group type = F-43m (216)

---

(2)
The following is a PBE-GGA calculation of an optimized crystal structure of CdSnHg, from OQMD.

```
12
Lattice="7.3608 0.0000 0.0000 0.0000 4.5108 0.0000 0.0000 0.0000 9.3914" Properties=species:S:1:pos:R:3 pbc="T T T"
Cd 0.7807 1.1277 1.8256
Cd 2.8997 3.3831 6.5213
Cd 4.4611 1.1277 2.8701
Cd 6.5801 3.3831 7.5658
Sn 1.0477 1.1277 5.0057
Sn 2.6327 3.3831 0.3100
Sn 4.7281 1.1277 9.0815
Sn 6.3130 3.3831 4.3857
Hg 1.1444 1.1277 8.1071
Hg 2.5359 3.3831 3.4113
Hg 4.8248 1.1277 5.9801
Hg 6.2163 3.3831 1.2844
```

Results
Calculated total energy = -5.017 eV/f.u.
Space-group type = Pnma (62)

---

(3)
The following is a PBE-GGA calculation of an optimized crystal structure of Cd2SnHg, from OQMD.

```
4
Lattice="0.0000 3.6614 3.6614 3.6614 0.0000 3.6614 3.6614 3.6614 0.0000" Properties=species:S:1:pos:R:3 pbc="T T T"
Cd 0.0000 0.0000 0.0000
Cd 1.8307 1.8307 1.8307
Sn 3.6614 3.6614 3.6614
Hg 5.4921 5.4921 5.4921
```

Results
Calculated total energy = -5.729 eV/f.u.
Space-group type = F-43m (216)

---

(4)
The following is a PBE-GGA calculation of an optimized crystal structure of CdSnHg2, from OQMD.

```
4
Lattice="0.0000 3.7142 3.7142 3.7142 0.0000 3.7142 3.7142 3.7142 0.0000" Properties=species:S:1:pos:R:3 pbc="T T T"
Cd 0.0000 0.0000 0.0000
Sn 5.5713 5.5713 5.5713
Hg 1.8571 1.8571 1.8571
Hg 3.7142 3.7142 3.7142
```

Results
Calculated total energy = -5.100 eV/f.u.
Space-group type = F-43m (216)

---

(5)
The following is a PBE-GGA calculation of an optimized crystal structure of CdSnHgTe3, from OQMD.

```
12
Lattice="2.1594 -7.1730 0.0000 2.1594 7.1730 0.0000 0.0000 0.0000 11.8286" Properties=species:S:1:pos:R:3 pbc="T T T"
Cd 0.0000 0.0000 0.0000
Cd 0.0000 0.0000 5.9143
Sn 2.1594 3.9073 8.8714
Sn 2.1594 -3.9073 2.9571
Hg 2.1594 0.3508 2.9571
Hg 2.1594 -0.3508 8.8714
Te 2.1594 5.5893 2.9571
Te 2.1594 2.0502 0.6929
Te 2.1594 2.0502 5.2214
Te 2.1594 -2.0502 6.6071
Te 2.1594 -2.0502 11.1357
Te 2.1594 -5.5893 8.8714
```

Results
Calculated total energy = -15.315 eV/f.u.
Space-group type = Cmcm (63)
Offset from the most stable computed form = 0.0000 eV per atom

---

(6)
The following is a PBE-GGA calculation of an optimized crystal structure of CdSnHgTe3, from OQMD.

```
12
Lattice="2.1596 -8.0355 0.0000 2.1596 8.0355 0.0000 0.0000 0.0000 10.6958" Properties=species:S:1:pos:R:3 pbc="T T T"
Cd 2.1596 7.4667 8.0218
Cd 2.1596 -7.4667 2.6739
Sn 2.1596 3.7772 2.6739
Sn 2.1596 -3.7772 8.0218
Hg 2.1596 0.0000 0.0000
Hg 2.1596 0.0000 5.3479
Te 2.1596 5.4719 6.0012
Te 2.1596 5.4719 10.0425
Te 2.1596 1.3162 8.0218
Te 2.1596 -1.3162 2.6739
Te 2.1596 -5.4719 0.6533
Te 2.1596 -5.4719 4.6946
```

Results
Calculated total energy = -15.174 eV/f.u.
Space-group type = Cmcm (63)
Offset from the most stable computed form = 0.0235 eV per atom

---

(7)
The following is a PBE-GGA calculation of an optimized crystal structure of Sr2CdHg2, from OQMD.

```
5
Lattice="-2.2038 2.2038 8.6427 2.2038 -2.2038 8.6427 2.2038 2.2038 -8.6427" Properties=species:S:1:pos:R:3 pbc="T T T"
Sr 0.0000 0.0000 1.8269
Sr 0.0000 0.0000 15.4585
Cd 0.0000 0.0000 8.6427
Hg 2.2038 0.0000 4.3214
Hg 0.0000 2.2038 4.3214
```

Results
Calculated total energy = -6.285 eV/f.u.
Space-group type = I4/mmm (139)

---

(8)
The following is a PBE-GGA calculation of an optimized crystal structure of Sr4CdHg, from OQMD.

```
6
Lattice="4.0673 0.0000 0.0000 0.0000 4.0673 0.0000 0.0000 0.0000 14.2808" Properties=species:S:1:pos:R:3 pbc="T T T"
Sr 0.0000 0.0000 1.9368
Sr 0.0000 0.0000 12.3440
Sr 2.0337 2.0337 5.1795
Sr 2.0337 2.0337 9.1013
Cd 0.0000 0.0000 7.1404
Hg 2.0337 2.0337 0.0000
```

Results
Calculated total energy = -9.784 eV/f.u.
Space-group type = P4/mmm (123)

---

(9)
The following is a PBE-GGA calculation of an optimized crystal structure of SrCdHgTe3, from OQMD.

```
12
Lattice="2.2305 -7.3553 0.0000 2.2305 7.3553 0.0000 0.0000 0.0000 11.7714" Properties=species:S:1:pos:R:3 pbc="T T T"
Sr 2.2305 3.8676 8.8285
Sr 2.2305 -3.8676 2.9428
Cd 2.2305 0.3998 2.9428
Cd 2.2305 -0.3998 8.8285
Hg 0.0000 0.0000 0.0000
Hg 0.0000 0.0000 5.8857
Te 2.2305 5.9802 2.9428
Te 2.2305 2.0884 0.6500
Te 2.2305 2.0884 5.2357
Te 2.2305 -2.0884 6.5357
Te 2.2305 -2.0884 11.1213
Te 2.2305 -5.9802 8.8285
```

Results
Calculated total energy = -15.844 eV/f.u.
Space-group type = Cmcm (63)
Offset from the most stable computed form = 0.0300 eV per atom

---

(10)
The following is a PBE-GGA calculation of an optimized crystal structure of SrCdHgTe3, from OQMD.

```
12
Lattice="2.2093 -7.2752 0.0000 2.2093 7.2752 0.0000 0.0000 0.0000 12.0148" Properties=species:S:1:pos:R:3 pbc="T T T"
Sr 2.2093 3.9206 9.0111
Sr 2.2093 -3.9206 3.0037
Cd 0.0000 0.0000 0.0000
Cd 0.0000 0.0000 6.0074
Hg 2.2093 0.4375 3.0037
Hg 2.2093 -0.4375 9.0111
Te 2.2093 5.8721 3.0037
Te 2.2093 2.0328 0.6494
Te 2.2093 2.0328 5.3580
Te 2.2093 -2.0328 6.6568
Te 2.2093 -2.0328 11.3654
Te 2.2093 -5.8721 9.0111
```

Results
Calculated total energy = -16.024 eV/f.u.
Space-group type = Cmcm (63)
Offset from the most stable computed form = 0.0000 eV per atom

---

(11)
The following is a PBE-GGA calculation of an optimized crystal structure of TbCd2Hg, from OQMD.

```
8
Lattice="4.9670 0.0000 0.0000 0.0000 5.6904 3.3322 0.0000 -5.6904 3.3322" Properties=species:S:1:pos:R:3 pbc="T T T"
Tb 1.2418 -3.8299 3.3322
Tb 3.7253 3.8299 3.3322
Cd 1.2418 -0.9240 4.8926
Cd 1.2418 1.8106 3.3225
Cd 3.7253 -1.8106 3.3225
Cd 3.7253 0.9240 4.8926
Hg 1.2418 -1.0189 1.6266
Hg 3.7253 1.0189 1.6266
```

Results
Total magnetic moment = 0.00 μB per atom
Calculated total energy = -8.034 eV/f.u.
Space-group type = Ama2 (40)
Offset from the most stable computed form = 0.0056 eV per atom

---

(12)
The following is a PBE-GGA calculation of an optimized crystal structure of TbCdHg2, from OQMD.

```
8
Lattice="4.9706 0.0000 0.0000 0.0000 5.7974 3.2902 0.0000 -5.7974 3.2902" Properties=species:S:1:pos:R:3 pbc="T T T"
Tb 1.2427 -3.8421 3.2902
Tb 3.7280 3.8421 3.2902
Cd 1.2427 -0.8835 1.7583
Cd 3.7280 0.8835 1.7583
Hg 1.2427 1.9394 3.2900
Hg 1.2427 -0.9560 4.9871
Hg 3.7280 -1.9394 3.2900
Hg 3.7280 0.9560 4.9871
```

Results
Total magnetic moment = 0.00 μB per atom
Calculated total energy = -7.515 eV/f.u.
Space-group type = Ama2 (40)

---

(13)
The following is a PBE-GGA calculation of an optimized crystal structure of TbCd2Hg, from OQMD.

```
8
Lattice="3.2552 -5.8194 0.0000 3.2552 5.8194 0.0000 0.0000 0.0000 4.9643" Properties=species:S:1:pos:R:3 pbc="T T T"
Tb 3.2552 3.8085 3.7232
Tb 3.2552 -3.8085 1.2411
Cd 1.6619 0.8783 3.7232
Cd 1.6619 -0.8783 1.2411
Cd 4.8485 0.8783 3.7232
Cd 4.8485 -0.8783 1.2411
Hg 3.2552 1.9665 1.2411
Hg 3.2552 -1.9665 3.7232
```

Results
Total magnetic moment = 0.00 μB per atom
Calculated total energy = -8.056 eV/f.u.
Space-group type = Cmcm (63)
Offset from the most stable computed form = 0.0000 eV per atom

---

(14)
The following is a PBE-GGA calculation of an optimized crystal structure of Tb2Cd5Hg, from OQMD.

```
8
Lattice="4.9540 0.0000 0.0000 0.0000 3.2769 5.7565 0.0000 -3.2769 5.7565" Properties=species:S:1:pos:R:3 pbc="T T T"
Tb 0.0000 0.0000 0.0000
Tb 2.4770 0.0000 3.9039
Cd 0.0000 -1.6161 8.6222
Cd 0.0000 0.0000 5.8591
Cd 0.0000 1.6161 8.6222
Cd 2.4770 -1.5772 6.8211
Cd 2.4770 1.5772 6.8211
Hg 2.4770 0.0000 9.6802
```

Results
Total magnetic moment = 0.00 μB per atom
Calculated total energy = -16.552 eV/f.u.
Space-group type = Amm2 (38)

---

(15)
The following is a PBE-GGA calculation of an optimized crystal structure of TbCd2Hg, from OQMD.

```
8
Lattice="4.9581 0.0000 0.0000 0.0000 3.3421 5.6797 0.0000 -3.3421 5.6797" Properties=species:S:1:pos:R:3 pbc="T T T"
Tb 0.0000 0.0000 0.0000
Tb 2.4790 0.0000 3.7256
Cd 0.0000 0.0000 5.7835
Cd 2.4790 -1.6071 6.6012
Cd 2.4790 1.6071 6.6012
Cd 2.4790 0.0000 9.4005
Hg 0.0000 -1.6688 2.8512
Hg 0.0000 1.6688 2.8512
```

Results
Total magnetic moment = 0.00 μB per atom
Calculated total energy = -8.030 eV/f.u.
Space-group type = Amm2 (38)
Offset from the most stable computed form = 0.0065 eV per atom

---

(16)
The following is a PBE-GGA calculation of an optimized crystal structure of TbCdHg2, from OQMD.

```
8
Lattice="4.9603 0.0000 0.0000 0.0000 3.3031 5.7858 0.0000 -3.3031 5.7858" Properties=species:S:1:pos:R:3 pbc="T T T"
Tb 0.0000 0.0000 0.0000
Tb 2.4801 0.0000 3.9145
Cd 0.0000 -1.5876 8.6359
Cd 0.0000 1.5876 8.6359
Hg 0.0000 0.0000 5.7546
Hg 2.4801 -1.6549 6.8085
Hg 2.4801 0.0000 9.6295
Hg 2.4801 1.6549 6.8085
```

Results
Total magnetic moment = 0.00 μB per atom
Calculated total energy = -7.511 eV/f.u.
Space-group type = Amm2 (38)

---

(17)
The following is a PBE-GGA calculation of an optimized crystal structure of TbCdHg2, from OQMD.

```
8
Lattice="3.3965 -5.6165 0.0000 3.3965 5.6165 0.0000 0.0000 0.0000 4.9735" Properties=species:S:1:pos:R:3 pbc="T T T"
Tb 3.3965 3.8226 3.7301
Tb 3.3965 -3.8226 1.2434
Cd 3.3965 1.7209 1.2434
Cd 3.3965 -1.7209 3.7301
Hg 1.7110 1.0293 3.7301
Hg 1.7110 -1.0293 1.2434
Hg 5.0821 1.0293 3.7301
Hg 5.0821 -1.0293 1.2434
```

Results
Total magnetic moment = 0.00 μB per atom
Calculated total energy = -7.553 eV/f.u.
Space-group type = Cmcm (63)

---

(18)
The following is a PBE-GGA calculation of an optimized crystal structure of Tb3CdHg5, from OQMD.

```
18
Lattice="9.0146 0.0000 0.0000 -4.5073 7.8069 0.0000 0.0000 0.0000 6.3234" Properties=species:S:1:pos:R:3 pbc="T T T"
Tb -1.5663 2.7129 1.5809
Tb -2.9410 5.0940 4.7426
Tb 3.1326 0.0000 1.5809
Tb 1.5663 2.7129 4.7426
Tb 5.8820 0.0000 4.7426
Tb 2.9410 5.0940 1.5809
Cd 0.0000 0.0000 0.0000
Cd 0.0000 0.0000 3.1617
Hg -1.4292 2.4754 4.7426
Hg -3.0782 5.3315 1.5809
Hg 2.8583 0.0000 4.7426
Hg 1.4292 2.4754 1.5809
Hg 0.0000 5.2046 0.0000
Hg 0.0000 5.2046 3.1617
Hg 4.5073 2.6023 0.0000
Hg 4.5073 2.6023 3.1617
Hg 6.1563 0.0000 1.5809
Hg 3.0782 5.3315 4.7426
```

Results
Total magnetic moment = 0.00 μB per atom
Calculated total energy = -20.090 eV/f.u.
Space-group type = P6_3/mcm (193)

---

(19)
The following is a PBE-GGA calculation of an optimized crystal structure of CdTcHg2, from OQMD.

```
4
Lattice="0.0000 3.4240 3.4240 3.4240 0.0000 3.4240 3.4240 3.4240 0.0000" Properties=species:S:1:pos:R:3 pbc="T T T"
Cd 0.0000 0.0000 0.0000
Tc 5.1360 5.1360 5.1360
Hg 1.7120 1.7120 1.7120
Hg 3.4240 3.4240 3.4240
```

Results
Total magnetic moment = 0.60 μB per atom
Calculated total energy = -9.225 eV/f.u.
Space-group type = F-43m (216)

---

(20)
The following is a PBE-GGA calculation of an optimized crystal structure of Cd2HgTe3, from OQMD.

```
12
Lattice="7.0132 -4.0389 0.0000 7.0132 4.0389 0.0000 0.0000 0.0000 7.6646" Properties=species:S:1:pos:R:3 pbc="T T T"
Cd 2.3478 1.2977 0.0000
Cd 2.3478 -1.2977 3.8323
Cd 11.6786 1.2977 0.0000
Cd 11.6786 -1.2977 3.8323
Hg 7.0132 1.2819 0.0042
Hg 7.0132 -1.2819 3.8365
Te 4.6732 2.6538 6.6967
Te 7.0132 1.4053 2.8779
Te 9.3532 2.6538 6.6967
Te 4.6732 -2.6538 2.8644
Te 7.0132 -1.4053 6.7102
Te 9.3532 -2.6538 2.8644
```

Results
Calculated total energy = -13.688 eV/f.u.
Space-group type = Cmc2_1 (36)

---

(21)
The following is a PBE-GGA calculation of an optimized crystal structure of ThCdHg, from OQMD.

```
3
Lattice="5.0801 0.0000 0.0000 -2.5401 4.3995 0.0000 0.0000 0.0000 3.4113" Properties=species:S:1:pos:R:3 pbc="T T T"
Th 0.0000 0.0000 0.0000
Cd 0.0000 2.9330 1.7056
Hg 2.5401 1.4665 1.7056
```

Results
Total magnetic moment = 0.00 μB per atom
Calculated total energy = -9.315 eV/f.u.
Space-group type = P-6m2 (187)

---

(22)
The following is a PBE-GGA calculation of an optimized crystal structure of Th3Cd4Hg2, from OQMD.

```
9
Lattice="7.5834 0.0000 0.0000 -3.7917 6.5674 0.0000 0.0000 0.0000 4.6794" Properties=species:S:1:pos:R:3 pbc="T T T"
Th -2.1487 3.7216 0.0000
Th 1.6430 2.8458 0.0000
Th 4.2973 0.0000 0.0000
Cd 0.0000 0.0000 0.0000
Cd -0.9090 1.5744 2.3397
Cd 1.8179 0.0000 2.3397
Cd 2.8827 4.9930 2.3397
Hg 0.0000 4.3783 2.3397
Hg 3.7917 2.1891 2.3397
```

Results
Total magnetic moment = 0.00 μB per atom
Calculated total energy = -28.452 eV/f.u.
Space-group type = P-62m (189)

---

(23)
The following is a PBE-GGA calculation of an optimized crystal structure of ThCdHg, from OQMD.

```
3
Lattice="0.0000 3.5161 3.5161 3.5161 0.0000 3.5161 3.5161 3.5161 0.0000" Properties=species:S:1:pos:R:3 pbc="T T T"
Th 0.0000 0.0000 0.0000
Cd 3.5161 3.5161 3.5161
Hg 5.2741 5.2741 5.2741
```

Results
Total magnetic moment = 0.00 μB per atom
Calculated total energy = -8.983 eV/f.u.
Space-group type = F-43m (216)

---

(24)
The following is a PBE-GGA calculation of an optimized crystal structure of TlCdHg, from OQMD.

```
12
Lattice="6.9192 0.0000 0.0000 0.0000 4.7286 0.0000 0.0000 0.0000 9.8478" Properties=species:S:1:pos:R:3 pbc="T T T"
Tl 0.8474 1.1821 0.9205
Tl 2.6122 3.5464 5.8444
Tl 4.3070 1.1821 4.0034
Tl 6.0718 3.5464 8.9273
Cd 0.9516 1.1821 7.3935
Cd 2.5080 3.5464 2.4696
Cd 4.4113 1.1821 7.3782
Cd 5.9676 3.5464 2.4543
Hg 0.8190 1.1821 4.1708
Hg 2.6406 3.5464 9.0947
Hg 4.2786 1.1821 0.7531
Hg 6.1002 3.5464 5.6770
```

Results
Calculated total energy = -3.484 eV/f.u.
Space-group type = Pnma (62)
Offset from the most stable computed form = 0.0036 eV per atom